(1)
A relaxed structure of La2As4IrPd3. Source: the Alexandria database, functional PBE-GGA.

Output
The spin magnetization comes out at 0.00 μB/atom. The raw total energy comes out at -6.16 eV/atom.

Geometry as extended XYZ:
```
10
Lattice="4.443 0.000 0.000 0.000 4.443 0.000 0.000 0.000 10.017" Properties=species:S:1:pos:R:3 pbc="T T T"
La 2.222 0.000 2.505
As 0.000 0.000 0.000
Pd 2.222 0.000 8.789
Ir 2.222 2.222 5.009
As 2.222 2.222 0.000
Pd 0.000 0.000 5.009
As 2.222 0.000 6.298
La 0.000 2.222 7.512
As 0.000 2.222 3.719
Pd 0.000 2.222 1.228
```

(2)
A relaxed structure of La2As4Ir3Pt. Source: the Alexandria database, functional PBE-GGA.

Output
The spin magnetization comes out at 0.00 μB/atom. The raw total energy comes out at -6.93 eV/atom.

Geometry as extended XYZ:
```
10
Lattice="-4.281 -0.569 0.994 1.048 -0.400 4.287 -1.022 9.714 1.155" Properties=species:S:1:pos:R:3 pbc="T T T"
Ir -3.046 8.324 1.521
La -2.391 2.097 0.780
As 0.000 0.000 0.000
As -1.616 -0.484 2.640
Ir 0.408 0.906 2.275
As -2.791 5.898 1.232
Pt -2.127 4.373 3.218
Ir -0.511 4.857 0.578
La -0.247 7.132 3.016
As 0.152 3.332 2.564
```

(3)
A relaxed structure of La2PuAs3Ir4. Source: the Alexandria database, functional PBE-GGA.

Output
The spin magnetization comes out at 0.52 μB/atom. The raw total energy comes out at -8.11 eV/atom.

Geometry as extended XYZ:
```
10
Lattice="-1.078 3.607 -1.836 -1.444 -2.118 -3.312 -10.335 -0.600 4.888" Properties=species:S:1:pos:R:3 pbc="T T T"
Ir -7.357 1.408 2.306
Ir 0.000 0.000 0.000
Ir -4.238 -1.263 0.007
La -8.668 -1.520 2.102
Ir -1.261 0.744 -2.574
La -2.927 1.665 0.211
As -2.022 -1.134 -1.041
Pu -6.428 0.445 -0.130
As -9.573 1.279 3.355
As -5.167 -0.300 2.444
```

(4)
A relaxed structure of La2As3Ir4Rh. Source: the Alexandria database, functional PBE-GGA.

Output
The spin magnetization comes out at 0.00 μB/atom. The raw total energy comes out at -7.34 eV/atom.

Geometry as extended XYZ:
```
10
Lattice="4.275 0.000 0.000 0.000 4.275 0.000 0.000 0.000 10.381" Properties=species:S:1:pos:R:3 pbc="T T T"
Ir 0.000 0.000 0.000
As 0.000 0.000 5.191
La 0.000 2.137 7.766
Rh 2.137 2.137 5.191
Ir 2.137 0.000 6.544
La 2.137 0.000 2.615
As 0.000 2.137 1.415
As 2.137 0.000 8.966
Ir 0.000 2.137 3.837
Ir 2.137 2.137 0.000
```

(5)
A relaxed structure of La2As4Ir3Rh. Source: the Alexandria database, functional PBE-GGA.

Output
The spin magnetization comes out at 0.00 μB/atom. The raw total energy comes out at -7.09 eV/atom.

Geometry as extended XYZ:
```
10
Lattice="-3.426 1.682 2.119 1.007 -2.380 3.519 5.747 7.439 3.387" Properties=species:S:1:pos:R:3 pbc="T T T"
As -1.210 -0.349 2.819
Ir 1.182 -0.312 2.159
Rh 1.664 3.371 4.512
As 0.000 0.000 0.000
Ir 3.356 7.403 4.047
As 1.940 5.570 3.213
La -0.299 2.672 1.893
Ir 2.873 3.720 1.694
As 2.598 1.521 2.993
La 4.836 4.418 4.313
```

(6)
A relaxed structure of LaAs2IrRh2. Source: the Alexandria database, functional PBE-GGA.

Output
The spin magnetization comes out at 0.00 μB/atom. The raw total energy comes out at -6.80 eV/atom.

Geometry as extended XYZ:
```
12
Lattice="4.212 0.000 0.000 0.000 4.974 0.000 0.000 0.000 12.176" Properties=species:S:1:pos:R:3 pbc="T T T"
Rh 0.000 2.081 4.222
Rh 2.106 4.568 1.866
As 0.000 0.695 2.307
As 2.106 3.182 3.781
Ir 2.106 2.487 6.088
La 2.106 2.487 0.000
As 2.106 1.792 8.395
As 0.000 4.279 9.869
La 0.000 0.000 6.088
Ir 0.000 0.000 0.000
Rh 2.106 0.406 10.310
Rh 0.000 2.893 7.954
```

(7)
A relaxed structure of La2As4IrRh3. Source: the Alexandria database, functional PBE-GGA.

Output
The spin magnetization comes out at 0.00 μB/atom. The raw total energy comes out at -6.87 eV/atom.

Geometry as extended XYZ:
```
10
Lattice="-4.133 -0.372 -1.194 1.137 -2.836 -3.052 -1.221 -7.580 6.587" Properties=species:S:1:pos:R:3 pbc="T T T"
Rh -3.140 -6.853 5.196
Rh 0.422 -2.331 -0.732
Ir -2.108 -5.394 1.170
La -2.368 -2.056 1.028
As -2.844 -5.014 3.598
As 0.125 -4.170 0.865
As 0.000 0.000 0.000
As -1.498 -1.604 -2.123
La -0.351 -7.128 3.436
Rh -0.610 -3.790 3.294
```

(8)
A relaxed structure of LaAs2IrRu. Source: the Alexandria database, functional PBE-GGA.

Output
The spin magnetization comes out at 0.00 μB/atom. The raw total energy comes out at -7.23 eV/atom.

Geometry as extended XYZ:
```
5
Lattice="4.131 0.000 0.000 0.000 4.131 0.000 -2.065 -2.065 5.748" Properties=species:S:1:pos:R:3 pbc="T T T"
Ru 2.065 0.000 2.874
La 0.000 0.000 0.000
Ir 0.000 2.065 2.874
As 0.000 0.000 4.212
As 2.065 2.065 1.536
```

(9)
A relaxed structure of La4AsIrS2. Source: the Alexandria database, functional PBE-GGA.

Output
Its uncorrected formation energy is -1.61 eV/atom. The spin magnetization comes out at 0.00 μB/atom. The raw total energy comes out at -6.80 eV/atom.

Geometry as extended XYZ:
```
8
Lattice="-3.653 0.762 -1.955 -2.985 -5.935 3.264 -1.110 5.840 4.349" Properties=species:S:1:pos:R:3 pbc="T T T"
S -2.381 3.301 1.197
La -1.553 3.008 4.074
Ir 0.000 0.000 0.000
La -2.542 -3.104 3.539
As -3.319 -2.587 0.654
La -2.822 0.371 0.878
La -4.926 0.295 4.780
S -2.047 -0.048 3.806
```

(10)
A relaxed structure of La2Sb3AsIr4. Source: the Alexandria database, functional PBE-GGA.

Output
Its uncorrected formation energy is -0.69 eV/atom. The spin magnetization comes out at 0.00 μB/atom. The raw total energy comes out at -6.92 eV/atom.

Geometry as extended XYZ:
```
10
Lattice="4.504 0.000 0.000 0.000 4.504 0.000 0.000 0.000 10.559" Properties=species:S:1:pos:R:3 pbc="T T T"
Ir 2.252 0.000 6.510
La 2.252 0.000 2.686
Sb 0.000 2.252 1.459
La 0.000 2.252 7.873
Ir 0.000 2.252 4.049
Sb 2.252 0.000 9.100
Sb 0.000 0.000 5.280
As 2.252 2.252 5.280
Ir 2.252 2.252 0.000
Ir 0.000 0.000 0.000
```

(11)
A relaxed structure of La2ScAs3Ir4. Source: the Alexandria database, functional PBE-GGA.

Output
The spin magnetization comes out at 0.00 μB/atom. The raw total energy comes out at -7.42 eV/atom.

Geometry as extended XYZ:
```
10
Lattice="-1.820 0.222 3.740 2.011 -3.450 1.184 8.470 6.223 3.752" Properties=species:S:1:pos:R:3 pbc="T T T"
Sc 4.330 1.498 4.338
Ir 3.986 0.465 1.912
La 1.095 1.584 2.758
Ir 0.095 -1.614 2.462
Ir 0.000 0.000 0.000
La 7.470 3.025 3.455
As 6.454 5.522 5.132
As 4.235 3.112 1.876
Ir 4.579 4.144 4.301
As 2.111 -0.912 1.082
```

(12)
A relaxed structure of LaAs2IrSe. Source: the Alexandria database, functional PBE-GGA.

Output
The calculation puts the energy above the lowest structure with this stoichiometry at 0 meV/atom. Its uncorrected formation energy is -0.38 eV/atom. The spin magnetization comes out at 0.00 μB/atom. The raw total energy comes out at -5.69 eV/atom.

Geometry as extended XYZ:
```
5
Lattice="-3.447 -3.132 0.967 2.462 -3.401 -2.236 2.429 -1.257 4.588" Properties=species:S:1:pos:R:3 pbc="T T T"
La 0.722 -3.895 1.660
As -1.724 -1.566 0.483
As 1.231 -1.700 -1.118
Se 1.215 -0.629 2.294
Ir 0.000 0.000 0.000
```

(13)
A relaxed structure of LaAs2IrSe. Source: the Alexandria database, functional PBE-GGA.

Output
The calculation puts the energy above the lowest structure with this stoichiometry at 1760 meV/atom. Its uncorrected formation energy is 1.38 eV/atom. The spin magnetization comes out at 0.39 μB/atom. The raw total energy comes out at -3.93 eV/atom.

Geometry as extended XYZ:
```
5
Lattice="-4.034 -3.954 0.424 3.977 -4.008 0.456 -0.018 0.610 5.514" Properties=species:S:1:pos:R:3 pbc="T T T"
Se -0.009 0.305 2.757
Ir -0.037 -3.676 3.197
As -2.017 -1.977 0.212
La 0.000 0.000 0.000
As 1.988 -2.004 0.228
```

(14)
A relaxed structure of La2TcAs4Ir3. Source: the Alexandria database, functional PBE-GGA.

Output
The spin magnetization comes out at 0.00 μB/atom. The raw total energy comes out at -7.34 eV/atom.

Geometry as extended XYZ:
```
10
Lattice="4.382 0.000 0.000 0.000 4.382 0.000 0.000 0.000 9.914" Properties=species:S:1:pos:R:3 pbc="T T T"
Tc 2.191 2.191 4.957
As 0.000 0.000 0.000
Ir 0.000 0.000 4.957
As 0.000 2.191 3.687
La 2.191 0.000 2.395
Ir 2.191 0.000 8.730
As 2.191 0.000 6.227
Ir 0.000 2.191 1.184
La 0.000 2.191 7.519
As 2.191 2.191 0.000
```

(15)
A relaxed structure of La8Te4AsIr3. Source: the Alexandria database, functional PBE-GGA.

Output
Its uncorrected formation energy is -1.27 eV/atom. The spin magnetization comes out at 0.00 μB/atom. The raw total energy comes out at -6.47 eV/atom.

Geometry as extended XYZ:
```
16
Lattice="-5.372 -2.594 6.318 6.780 -4.681 3.843 1.146 8.478 -1.519" Properties=species:S:1:pos:R:3 pbc="T T T"
Ir 0.704 -3.637 5.080
Te 0.573 4.239 -0.760
La -2.077 -3.054 5.849
La 4.631 4.257 2.792
Ir 3.963 1.899 1.162
La -1.522 1.052 5.114
Ir 1.277 0.602 4.321
Te -2.113 2.942 2.399
La 1.137 2.424 1.962
La 1.418 -1.221 6.680
La 0.525 -1.798 2.790
Te 0.000 0.000 0.000
As 3.390 -2.340 1.922
Te -2.686 -1.297 3.159
La 4.076 0.151 3.528
La 2.029 3.001 5.852
```

(16)
A relaxed structure of La8Te4As3Ir. Source: the Alexandria database, functional PBE-GGA.

Output
Its uncorrected formation energy is -1.51 eV/atom. The spin magnetization comes out at 0.00 μB/atom. The raw total energy comes out at -6.18 eV/atom.

Geometry as extended XYZ:
```
16
Lattice="-8.655 -1.742 -0.210 1.726 -8.744 1.401 3.154 6.025 5.692" Properties=species:S:1:pos:R:3 pbc="T T T"
Te -2.750 2.141 2.741
Ir 0.863 -4.372 0.701
La -1.605 -2.819 0.433
Te -4.327 -0.871 -0.105
As 2.440 -1.359 3.547
La -2.169 -1.642 6.451
La -4.461 -0.606 3.193
La -0.131 0.258 3.273
Te 0.000 0.000 0.000
As -1.887 -2.231 3.442
La 0.687 -3.855 3.691
La -6.107 -3.725 0.324
La 2.333 -0.736 6.560
Te 1.577 3.013 2.846
As -3.464 -5.243 0.596
La -3.643 -4.719 3.611
```

(17)
A relaxed structure of La2VAs4Ir3. Source: the Alexandria database, functional PBE-GGA.

Output
The spin magnetization comes out at 0.20 μB/atom. The raw total energy comes out at -7.22 eV/atom.

Geometry as extended XYZ:
```
10
Lattice="-2.669 1.667 3.027 -2.486 -3.583 -0.219 5.549 -4.292 7.255" Properties=species:S:1:pos:R:3 pbc="T T T"
La -0.001 -0.198 3.258
As 0.800 -3.372 2.562
As -2.577 -0.958 1.404
As 0.000 0.000 0.000
V 0.197 -3.104 5.032
Ir 2.774 -2.146 3.627
Ir 3.559 -2.952 7.912
Ir -0.588 -2.298 0.747
La 2.972 -5.052 5.402
As 2.171 -1.878 6.097
```

(18)
A relaxed structure of LaAsIr2W. Source: the Alexandria database, functional PBE-GGA.

Output
The spin magnetization comes out at 0.00 μB/atom. The raw total energy comes out at -7.11 eV/atom.

Geometry as extended XYZ:
```
5
Lattice="-3.086 2.632 2.440 -3.169 0.569 -4.622 -2.406 -3.904 1.169" Properties=species:S:1:pos:R:3 pbc="T T T"
W 0.000 0.000 0.000
Ir -1.543 1.316 1.220
La -1.585 0.284 -2.311
Ir -1.203 -1.952 0.584
As -4.330 -0.352 -0.507
```

(19)
A relaxed structure of La2ZnAs4Ir3. Source: the Alexandria database, functional PBE-GGA.

Output
The spin magnetization comes out at 0.00 μB/atom. The raw total energy comes out at -6.39 eV/atom.

Geometry as extended XYZ:
```
10
Lattice="-0.512 2.869 -3.330 -4.343 0.186 0.828 1.519 7.547 6.269" Properties=species:S:1:pos:R:3 pbc="T T T"
As 0.000 0.000 0.000
Ir 0.759 3.774 3.135
La -1.022 5.803 5.158
As -1.619 2.839 2.695
La 0.113 3.271 -0.139
Zn -1.668 5.301 1.884
Ir 1.089 8.120 3.889
Ir -1.998 0.954 1.130
As 0.710 6.236 2.323
As -2.427 1.527 -1.251
```

(20)
A relaxed structure of La2ZnAsIr. Source: the Alexandria database, functional PBE-GGA.

Output
The spin magnetization comes out at 0.00 μB/atom. The raw total energy comes out at -5.57 eV/atom.

Geometry as extended XYZ:
```
5
Lattice="5.466 0.000 0.000 0.000 4.775 0.000 0.000 0.000 5.466" Properties=species:S:1:pos:R:3 pbc="T T T"
La 0.000 0.000 2.733
As 2.733 2.388 2.733
Zn 0.000 2.388 0.000
Ir 0.000 0.000 0.000
La 2.733 0.000 0.000
```